VASP calculation (PBE-GGA) on a relaxed structure of YTh5N6.

Results
Final energy: -112.44 eV/cell
E_form (uncorrected): -1.58 eV/atom
Crystal system: monoclinic
Symmetry: C2/m
DOS at the Fermi energy: 5.7 states/eV/f.u.

CIF file:
```
data_YTh5N6
_space_group_name_H-M_alt 'P 1'
_space_group_IT_number 1
_cell_length_a 6.296
_cell_length_b 6.291
_cell_length_c 6.291
_cell_angle_alpha 60.00
_cell_angle_beta 80.43
_cell_angle_gamma 70.58
loop_
_space_group_symop_operation_xyz
'x,y,z'
loop_
_atom_site_label
_atom_site_fract_x
_atom_site_fract_y
_atom_site_fract_z
_atom_site_occupancy
Th1 0.500 0.834 0.332 1
Th2 0.500 0.500 0.000 1
Th3 0.500 0.166 0.668 1
Th4 0.000 0.333 0.333 1
Th5 0.000 0.667 0.667 1
N1 0.752 0.754 0.000 1
N2 0.246 0.918 0.671 1
N3 0.246 0.589 0.329 1
N4 0.754 0.411 0.671 1
N5 0.754 0.082 0.329 1
N6 0.248 0.246 0.000 1
Y1 0.000 0.000 0.000 1
```

=====

VASP calculation (PBE-GGA) on a relaxed structure of HfSb3Cl.

Results
Final energy: -23.77 eV/cell
E_form (uncorrected): 0.08 eV/atom
Crystal system: cubic
Symmetry: Pm-3m
DOS at the Fermi energy: 1.8 states/eV/f.u.
Polymorph energy (0 for the lowest one): 0 meV per atom

CIF file:
```
data_HfSb3Cl
_space_group_name_H-M_alt 'P 1'
_space_group_IT_number 1
_cell_length_a 5.472
_cell_length_b 5.472
_cell_length_c 5.472
_cell_angle_alpha 90.00
_cell_angle_beta 90.00
_cell_angle_gamma 90.00
loop_
_space_group_symop_operation_xyz
'x,y,z'
loop_
_atom_site_label
_atom_site_fract_x
_atom_site_fract_y
_atom_site_fract_z
_atom_site_occupancy
Hf1 0.000 0.000 0.000 1
Sb1 0.500 0.000 0.000 1
Sb2 0.000 0.500 0.000 1
Sb3 0.000 0.000 0.500 1
Cl1 0.500 0.500 0.500 1
```